[1]
The following is a PBE calculation of a relaxed Pr2Ga3Co crystal, from Alexandria.

Computed properties:
For the density of states at the Fermi level, the calculation gives 0.897 states/eV per atom. Its energy of formation from the pure elements is -0.4965 eV/atom. The value obtained for the density is 6.97 Mg/m³. Its symmetry is No. 25. Its total moment is 0.0 μB per formula unit.

a = 3.976 Å, b = 4.329 Å, c = 7.610 Å
α = 90.00°, β = 90.00°, γ = 90.00°
Positions (direct):
Pr 0.000 0.000 0.000
Pr 0.000 0.500 0.467
Ga 0.500 0.000 0.633
Ga 0.500 0.500 0.155
Ga 0.500 0.500 0.814
Co 0.500 0.000 0.306

[2]
The following is a PBE calculation of a relaxed Na2TbCrSe4 crystal, from Alexandria.

Computed properties:
The value obtained for the density is 4.99 Mg/m³. The value obtained for the formation energy without anion corrections is -1199 meV/atom. Its symmetry is No. 10. Its total moment is 3.0 μB per formula unit.

a = 6.838 Å, b = 3.988 Å, c = 7.368 Å
α = 90.00°, β = 108.37°, γ = 90.00°
Positions (direct):
Na 0.000 0.000 0.000
Na 0.500 0.500 0.000
Tb 0.000 0.500 0.500
Cr 0.500 0.000 0.500
Se 0.265 0.000 0.724
Se 0.289 0.500 0.292
Se 0.711 0.500 0.708
Se 0.735 0.000 0.276

[3]
The following is a PBE calculation of a relaxed Ho2Tm8Mg crystal, from Alexandria.

Computed properties:
For the density of states at the Fermi level, the calculation gives 1.576 states/eV per atom. Its energy of formation from the pure elements is 0.1076 eV/atom. The value obtained for the density is 8.36 Mg/m³. Its symmetry is No. 71. Its total moment is 0.0 μB per formula unit.

a = 9.679 Å, b = 9.679 Å, c = 9.679 Å
α = 147.47°, β = 135.58°, γ = 56.12°
Positions (direct):
Ho 0.194 0.194 0.000
Ho 0.806 0.806 0.000
Tm 0.098 0.361 0.737
Tm 0.246 0.000 0.246
Tm 0.318 0.818 0.500
Tm 0.376 0.639 0.737
Tm 0.624 0.361 0.263
Tm 0.682 0.182 0.500
Tm 0.754 0.000 0.754
Tm 0.902 0.639 0.263
Mg 0.500 0.500 0.000